# NiGe3Br

Crystalline NiGe3Br at its relaxed geometry (GGA-PBE, the Alexandria database).

Geometry as CIF:
```
data_NiGe3Br
_cell_length_a 4.711
_cell_length_b 4.711
_cell_length_c 4.711
_cell_angle_alpha 90.00
_cell_angle_beta 90.00
_cell_angle_gamma 90.00
_symmetry_space_group_name_H-M 'P m -3 m'
_symmetry_Int_Tables_number 221
_symmetry_space_group_name_Hall '-P 4 2 3'
loop_
_atom_site_label
_atom_site_type_symbol
_atom_site_fract_x
_atom_site_fract_y
_atom_site_fract_z
_atom_site_occupancy
Ni1 Ni 0.000 0.000 0.000 1
Ge1 Ge 0.000 0.000 0.500 1
Br1 Br 0.500 0.500 0.500 1
```

Calculated values
Crystal system: cubic
Total DFT energy (no corrections) (eV/cell): -20.530
Total moment (μB/atom): 0.00
Formation energy (no corrections) (eV per atom): 0.1553